Record 1
# GaNiRu PBE optimized geometry
data_GaNiRu
_chemical_formula_sum 'Ga4 Ni4 Ru4'
_symmetry_space_group_name_H-M 'P 1'
_symmetry_Int_Tables_number 1
_cell_length_a 6.1665
_cell_length_b 2.8161
_cell_length_c 9.3738
_cell_angle_alpha 90.00
_cell_angle_beta 103.64
_cell_angle_gamma 90.00
loop_
_symmetry_equiv_pos_as_xyz
'x,y,z'
loop_
_atom_site_label
_atom_site_type_symbol
_atom_site_fract_x
_atom_site_fract_y
_atom_site_fract_z
Ga1 Ga 0.3303 0.0000 0.1998
Ga2 Ga 0.3303 0.5000 0.6998
Ga3 Ga 0.9775 0.0000 0.5022
Ga4 Ga 0.9775 0.5000 0.0022
Ni1 Ni 0.7380 0.0000 0.1336
Ni2 Ni 0.7380 0.5000 0.6336
Ni3 Ni 0.0603 0.0000 0.7900
Ni4 Ni 0.0603 0.5000 0.2900
Ru1 Ru 0.3933 0.0000 0.4826
Ru2 Ru 0.3933 0.5000 0.9826
Ru3 Ru 0.6611 0.0000 0.8491
Ru4 Ru 0.6611 0.5000 0.3491
# * ΔE_f: -0.4 eV/f.u.
# * SG: Cm



Record 2
# GaNiRu PBE optimized geometry
data_GaNiRu
_chemical_formula_sum 'Ga4 Ni4 Ru4'
_symmetry_space_group_name_H-M 'P 1'
_symmetry_Int_Tables_number 1
_cell_length_a 5.2938
_cell_length_b 3.7850
_cell_length_c 8.1727
_cell_angle_alpha 90.00
_cell_angle_beta 104.83
_cell_angle_gamma 90.00
loop_
_symmetry_equiv_pos_as_xyz
'x,y,z'
loop_
_atom_site_label
_atom_site_type_symbol
_atom_site_fract_x
_atom_site_fract_y
_atom_site_fract_z
Ga1 Ga 0.6095 0.0000 0.6106
Ga2 Ga 0.6095 0.5000 0.1106
Ga3 Ga 0.9572 0.0000 0.3024
Ga4 Ga 0.9572 0.5000 0.8024
Ni1 Ni 0.0887 0.0000 0.6254
Ni2 Ni 0.0887 0.5000 0.1254
Ni3 Ni 0.7813 0.0000 0.9415
Ni4 Ni 0.7813 0.5000 0.4415
Ru1 Ru 0.4334 0.0000 0.2794
Ru2 Ru 0.4334 0.5000 0.7794
Ru3 Ru 0.2905 0.0000 0.9625
Ru4 Ru 0.2905 0.5000 0.4625
# * ΔE_f: -0.5 eV/f.u.
# * SG: Cm



Record 3
# GaNiRu PBE optimized geometry
data_GaNiRu
_chemical_formula_sum 'Ga4 Ni4 Ru4'
_symmetry_space_group_name_H-M 'P 1'
_symmetry_Int_Tables_number 1
_cell_length_a 6.4064
_cell_length_b 2.8667
_cell_length_c 9.0126
_cell_angle_alpha 90.00
_cell_angle_beta 106.27
_cell_angle_gamma 90.00
loop_
_symmetry_equiv_pos_as_xyz
'x,y,z'
loop_
_atom_site_label
_atom_site_type_symbol
_atom_site_fract_x
_atom_site_fract_y
_atom_site_fract_z
Ga1 Ga 0.2387 0.0000 0.1640
Ga2 Ga 0.2387 0.5000 0.6640
Ga3 Ga 0.8983 0.0000 0.4536
Ga4 Ga 0.8983 0.5000 0.9536
Ni1 Ni 0.8265 0.0000 0.1575
Ni2 Ni 0.8265 0.5000 0.6575
Ni3 Ni 0.1469 0.0000 0.8596
Ni4 Ni 0.1469 0.5000 0.3596
Ru1 Ru 0.4709 0.0000 0.5154
Ru2 Ru 0.4709 0.5000 0.0154
Ru3 Ru 0.5793 0.0000 0.8080
Ru4 Ru 0.5793 0.5000 0.3080
# * ΔE_f: -0.4 eV/f.u.
# * SG: Cm



The calculation returns the following final energy values, one per record and in order: -6.170; -6.188; -6.170 eV per atom.